# 1
The following is a GGA-PBE calculation of a geometry-optimized MgTaSnN structure, from the Alexandria database.

Cell: 3.262 3.299 13.777 Å, 90.00 90.00 90.00°
Atoms (fractional coordinates):
Mg1 0.000 0.000 0.000
Mg2 0.000 0.500 0.500
Ta1 0.500 0.000 0.329
Ta2 0.500 0.500 0.829
Sn1 0.000 0.000 0.678
Sn2 0.000 0.500 0.178
N1 0.500 0.000 0.910
N2 0.500 0.500 0.410

Summary:
space group: Amm2, No. 38
formation energy (no corrections): -0.360 eV per atom
M_tot: 0.00 μB per formula unit

=====

# 2
The following is a GGA-PBE calculation of a geometry-optimized MgTaSnN structure, from the Alexandria database.

Cell: 3.045 3.045 7.693 Å, 90.00 90.00 90.00°
Atoms (fractional coordinates):
Mg1 0.000 0.000 0.000
Ta1 0.500 0.500 0.306
Sn1 0.000 0.000 0.608
N1 0.500 0.500 0.062

Summary:
space group: P4mm, No. 99
formation energy (no corrections): -0.377 eV per atom
M_tot: 0.00 μB per formula unit

=====

# 3
The following is a GGA-PBE calculation of a geometry-optimized Mg2TcSnN4 structure, from the Alexandria database.

Cell: 5.827 5.634 5.072 Å, 65.71 61.79 52.50°
Atoms (fractional coordinates):
Mg1 0.000 0.000 0.500
Mg2 0.500 0.500 0.000
Tc1 0.245 0.245 0.755
Sn1 0.769 0.769 0.231
N1 0.163 0.566 0.434
N2 0.348 0.893 0.652
N3 0.566 0.163 0.837
N4 0.893 0.348 0.107

Summary:
space group: Fmm2, No. 42
formation energy (no corrections): -0.187 eV per atom
M_tot: 0.00 μB per formula unit

=====

# 4
The following is a GGA-PBE calculation of a geometry-optimized MgSnTe2N structure, from the Alexandria database.

Cell: 5.935 5.935 3.895 Å, 90.00 90.00 90.00°
Atoms (fractional coordinates):
Mg1 0.000 0.000 0.000
Sn1 0.500 0.500 0.500
Te1 0.000 0.500 0.500
Te2 0.500 0.000 0.500
N1 0.500 0.500 0.000

Summary:
space group: P4/mmm, No. 123
formation energy (no corrections): 0.546 eV per atom
M_tot: 0.01 μB per formula unit